CaMnO2 after structural relaxation. Source: the Alexandria database, functional PBE with a Hubbard U.

Results
Theoretical density in Mg/m³: 4.12
Energy in hartree per atom: -0.2610

a b c (Å): 3.313 3.313 4.662
angles (deg): 90.00 90.00 90.00
Space group P4/mmm (No. 123)
Inequivalent atoms, fractional coordinates:
1 Ca 0.000 0.000 0.000 x1
2 Mn 0.500 0.500 0.500 x1
3 O 0.000 0.000 0.500 x1
4 O 0.500 0.500 0.000 x1